1.
PBE V2InTe, optimized geometry; relative energy among the computed polymorphs = 0 meV/atom; final energy = -5.63 eV per atom; M_tot = 0.00 μB/cell
1.0
6.5886 0.0000 0.0000
0.0000 6.5886 0.0000
0.0000 0.0000 6.5886
V In Te
8 4 4
Cartesian
1.6472 1.6472 1.6472 V
1.6472 1.6472 4.9415 V
1.6472 4.9415 1.6472 V
1.6472 4.9415 4.9415 V
4.9415 1.6472 1.6472 V
4.9415 1.6472 4.9415 V
4.9415 4.9415 1.6472 V
4.9415 4.9415 4.9415 V
0.0000 0.0000 0.0000 In
0.0000 3.2943 3.2943 In
3.2943 0.0000 3.2943 In
3.2943 3.2943 0.0000 In
0.0000 0.0000 3.2943 Te
0.0000 3.2943 0.0000 Te
3.2943 0.0000 0.0000 Te
3.2943 3.2943 3.2943 Te



2.
PBE VIn3Te, optimized geometry; relative energy among the computed polymorphs = 0 meV/atom; final energy = -3.65 eV per atom; M_tot = 4.56 μB/cell
1.0
5.3973 0.0000 0.0000
0.0000 5.3973 0.0000
0.0000 0.0000 5.3973
V In Te
1 3 1
Cartesian
0.0000 0.0000 0.0000 V
0.0000 0.0000 2.6986 In
0.0000 2.6986 0.0000 In
2.6986 0.0000 0.0000 In
2.6986 2.6986 2.6986 Te